Entry 1:
Material: CoBi
Method: DFT, GGA-PBE
State: optimized geometry

Results
* DFT total energy: -5.295 eV per atom
* V: 19.2 A^3/atom
* SG: Cmcm

abc: 5.380 5.380 3.944
angles: 90.00 90.00 137.85
Element x y z (fractional)
Co  0.066  0.934  0.750
Co  0.934  0.066  0.250
Bi  0.357  0.643  0.750
Bi  0.643  0.357  0.250

=====

Entry 2:
Material: Y4Zr2Sb3N3
Method: DFT, GGA-PBE
State: optimized geometry

Results
* DFT total energy: -7.860 eV per atom
* V: 19.5 A^3/atom
* SG: C2/c

abc: 6.097 6.097 14.930
angles: 101.80 101.80 60.08
Element x y z (fractional)
Y  0.033  0.194  0.090
Y  0.133  0.303  0.410
Y  0.194  0.033  0.590
Y  0.303  0.133  0.910
Y  0.697  0.867  0.090
Y  0.806  0.967  0.410
Y  0.867  0.697  0.590
Y  0.967  0.806  0.910
Zr  0.358  0.527  0.080
Zr  0.473  0.642  0.420
Zr  0.527  0.358  0.580
Zr  0.642  0.473  0.920
Sb  0.106  0.894  0.250
Sb  0.274  0.416  0.751
Sb  0.416  0.274  0.251
Sb  0.584  0.726  0.749
Sb  0.726  0.584  0.249
Sb  0.894  0.106  0.750
N  0.000  0.500  0.000
N  0.178  0.661  0.500
N  0.339  0.822  0.000
N  0.500  0.000  0.500
N  0.661  0.178  0.000
N  0.822  0.339  0.500

=====

Entry 3:
Material: AcTcAu
Method: DFT, GGA-PBE
State: optimized geometry

Results
* formation energy: 931.6 meV/atom
* V: 27.9 A^3/atom
* SG: F-43m

abc: 4.908 4.908 4.908
angles: 60.00 60.00 60.00
Element x y z (fractional)
Ac  0.000  0.000  0.000
Tc  0.250  0.250  0.250
Au  0.750  0.750  0.750

=====

Entry 4:
Material: SmYSO2
Method: DFT, GGA-PBE
State: optimized geometry

Results
* DFT total energy: -8.188 eV per atom
* V: 17.1 A^3/atom
* SG: P3m1

abc: 3.848 3.848 6.657
angles: 90.00 90.00 120.00
Element x y z (fractional)
Sm  0.000  0.000  0.000
Y  0.667  0.333  0.438
S  0.333  0.667  0.715
O  0.000  0.000  0.354
O  0.667  0.333  0.094

=====

Quick rundown of total magnetic moment, same order as above: 2.3; 0.0; 1.9; 0.0 Bohr magnetons per cell